This record from the Alexandria database describes a geometry-optimized Cr2RePb structure. The functional is PBE. Values from VASP.

Values from the calculation:
- Energy of formation from the pure elements: 2.704 eV/f.u.
- Crystal system: orthorhombic

The structure in Quantum ESPRESSO input format:
```
&SYSTEM
  ibrav = 0, nat = 4, ntyp = 3
/
ATOMIC_SPECIES
Cr 52.00 Cr.upf
Re 186.21 Re.upf
Pb 207.20 Pb.upf
CELL_PARAMETERS angstrom
-3.4643 1.8959 3.4107
-4.9353 0.3385 -1.6603
3.9984 -3.2389 0.8666
ATOMIC_POSITIONS crystal
Cr 0.9927 0.9927 0.0000
Cr 0.7703 0.2703 0.5000
Re 0.2318 0.7318 0.5000
Pb 0.5052 0.5052 0.0000
```

=====

This record from the Alexandria database describes a geometry-optimized CeNi6Sn structure. The functional is PBE. Values from VASP.

Values from the calculation:
- Energy of formation from the pure elements: -1.869 eV/f.u.
- Crystal system: hexagonal

The structure in Quantum ESPRESSO input format:
```
&SYSTEM
  ibrav = 0, nat = 8, ntyp = 3
/
ATOMIC_SPECIES
Ni 58.69 Ni.upf
Ce 140.12 Ce.upf
Sn 118.71 Sn.upf
CELL_PARAMETERS angstrom
4.3846 0.0000 0.0000
0.0000 5.3661 -0.1736
0.0000 -2.5315 4.7347
ATOMIC_POSITIONS crystal
Ni 0.5000 0.9035 0.0965
Ni 0.0000 0.5907 0.4093
Ni 0.5000 0.9032 0.5568
Ni 0.0000 0.0682 0.4090
Ni 0.5000 0.4432 0.0968
Ni 0.0000 0.5910 0.9318
Ce 0.0000 0.0834 0.9166
Sn 0.5000 0.4165 0.5835
```

=====

This record from the Alexandria database describes a geometry-optimized Zr2BHIr6 structure. The functional is PBE. Values from VASP.

Values from the calculation:
- Crystal system: tetragonal

The structure in Quantum ESPRESSO input format:
```
&SYSTEM
  ibrav = 0, nat = 10, ntyp = 4
/
ATOMIC_SPECIES
Ir 192.22 Ir.upf
Zr 91.22 Zr.upf
B 10.81 B.upf
H 1.01 H.upf
CELL_PARAMETERS angstrom
-3.7750 -2.8358 3.3688
0.1858 -4.5441 -3.5999
1.3131 -5.2737 2.0390
ATOMIC_POSITIONS crystal
Ir 0.7554 0.2445 0.0000
Ir 0.2446 0.2446 0.5110
Ir 0.2447 0.2447 0.0002
Ir 0.2446 0.7555 0.0000
Ir 0.7553 0.7553 0.9998
Ir 0.7554 0.7554 0.4890
Zr 0.2500 0.7500 0.5000
Zr 0.7500 0.2500 0.5000
B 0.5000 0.5000 0.0000
H 0.0000 0.0000 0.0000
```

=====

This record from the Alexandria database describes a geometry-optimized Cs2HPdS2 structure. The functional is PBE. Values from VASP.

Values from the calculation:
- Crystal system: orthorhombic

The structure in Quantum ESPRESSO input format:
```
&SYSTEM
  ibrav = 0, nat = 12, ntyp = 4
/
ATOMIC_SPECIES
H 1.01 H.upf
Pd 106.42 Pd.upf
S 32.06 S.upf
Cs 132.91 Cs.upf
CELL_PARAMETERS angstrom
7.0463 0.0000 0.0000
0.0000 10.1949 0.0000
-3.5231 -5.0975 6.2738
ATOMIC_POSITIONS crystal
H 0.2500 0.0000 0.0000
H 0.7500 0.0000 0.0000
Pd 0.7500 0.5000 0.0000
Pd 0.2500 0.5000 0.0000
S 0.8779 0.3697 0.7558
S 0.6221 0.6138 0.2442
S 0.1221 0.6303 0.2442
S 0.3779 0.3862 0.7558
Cs 0.6277 0.9603 0.2554
Cs 0.8723 0.7049 0.7446
Cs 0.1277 0.2951 0.2554
Cs 0.3723 0.0397 0.7446
```

=====

This record from the Alexandria database describes a geometry-optimized Mg3WI structure. The functional is PBE. Values from VASP.

Values from the calculation:
- Excess energy over the best structure of this formula in the dataset: 0 meV per atom
- Formation energy from raw total energies: 1057 meV/atom
- Crystal system: cubic

The structure in Quantum ESPRESSO input format:
```
&SYSTEM
  ibrav = 0, nat = 5, ntyp = 3
/
ATOMIC_SPECIES
I 126.90 I.upf
Mg 24.30 Mg.upf
W 183.84 W.upf
CELL_PARAMETERS angstrom
5.5226 0.0000 0.0000
0.0000 5.5226 0.0000
0.0000 0.0000 5.5226
ATOMIC_POSITIONS crystal
I 0.5000 0.5000 0.5000
Mg 0.5000 0.0000 0.0000
Mg 0.0000 0.5000 0.0000
Mg 0.0000 0.0000 0.5000
W 0.0000 0.0000 0.0000
```

=====

This record from the Alexandria database describes a geometry-optimized Re2PH structure. The functional is PBE. Values from VASP.

Values from the calculation:
- Crystal system: cubic

The structure in Quantum ESPRESSO input format:
```
&SYSTEM
  ibrav = 0, nat = 4, ntyp = 3
/
ATOMIC_SPECIES
Re 186.21 Re.upf
H 1.01 H.upf
P 30.97 P.upf
CELL_PARAMETERS angstrom
0.2123 -3.3114 -2.2709
-2.1831 -0.2731 -3.3656
1.8109 0.1352 -3.5875
ATOMIC_POSITIONS crystal
Re 0.2500 0.2500 0.2500
Re 0.7500 0.7500 0.7500
H 0.0000 0.0000 0.0000
P 0.5000 0.5000 0.5000
```

=====

This record from the Alexandria database describes a geometry-optimized KSrMg2Be structure. The functional is PBE. Values from VASP.

Values from the calculation:
- Energy of formation from the pure elements: 4.764 eV/f.u.
- Crystal system: tetragonal

The structure in Quantum ESPRESSO input format:
```
&SYSTEM
  ibrav = 0, nat = 5, ntyp = 4
/
ATOMIC_SPECIES
Mg 24.30 Mg.upf
Be 9.01 Be.upf
K 39.10 K.upf
Sr 87.62 Sr.upf
CELL_PARAMETERS angstrom
-5.9415 2.6641 0.3381
-2.3801 -5.1286 -1.4143
-0.3490 -1.5799 6.3163
ATOMIC_POSITIONS crystal
Mg 0.5000 0.0000 0.0000
Mg 0.0000 0.0000 0.5000
Be 0.0000 0.5000 0.0000
K 0.5000 0.5000 0.5000
Sr 0.0000 0.0000 0.0000
```

=====

This record from the Alexandria database describes a geometry-optimized EuErGa2 structure. The functional is PBE. Values from VASP.

Values from the calculation:
- Excess energy over the best structure of this formula in the dataset: 217 meV per atom
- Energy of formation from the pure elements: -1.254 eV/f.u.
- Crystal system: trigonal

The structure in Quantum ESPRESSO input format:
```
&SYSTEM
  ibrav = 0, nat = 4, ntyp = 3
/
ATOMIC_SPECIES
Eu 151.96 Eu.upf
Ga 69.72 Ga.upf
Er 167.26 Er.upf
CELL_PARAMETERS angstrom
3.6653 0.0000 0.0000
1.8327 3.1743 0.0000
1.8327 1.0581 9.0672
ATOMIC_POSITIONS crystal
Eu 0.5000 0.5000 0.5000
Ga 0.2538 0.2538 0.2385
Ga 0.7462 0.7462 0.7615
Er 0.0000 0.0000 0.0000
```

=====

This record from the Alexandria database describes a geometry-optimized BaCuS2 structure. The functional is PBE. Values from VASP.

Values from the calculation:
- Formation energy from raw total energies: -882 meV/atom
- Crystal system: trigonal

The structure in Quantum ESPRESSO input format:
```
&SYSTEM
  ibrav = 0, nat = 4, ntyp = 3
/
ATOMIC_SPECIES
Ba 137.33 Ba.upf
S 32.06 S.upf
Cu 63.55 Cu.upf
CELL_PARAMETERS angstrom
2.8580 0.0000 6.9652
-1.4290 2.4751 6.9652
-1.4290 -2.4751 6.9652
ATOMIC_POSITIONS crystal
Ba 0.5000 0.5000 0.5000
S 0.8999 0.8999 0.8999
S 0.1001 0.1001 0.1001
Cu 0.0000 0.0000 0.0000
```

=====

This record from the Alexandria database describes a geometry-optimized NaMg6TiO8 structure. The functional is PBE. Values from VASP.

Values from the calculation:
- Excess energy over the best structure of this formula in the dataset: 13 meV per atom
- Formation energy from raw total energies: -2539 meV/atom
- Crystal system: tetragonal

The structure in Quantum ESPRESSO input format:
```
&SYSTEM
  ibrav = 0, nat = 16, ntyp = 4
/
ATOMIC_SPECIES
O 16.00 O.upf
Mg 24.30 Mg.upf
Na 22.99 Na.upf
Ti 47.87 Ti.upf
CELL_PARAMETERS angstrom
-1.7267 -2.7263 2.8642
-2.3954 -1.7655 -3.1246
6.2722 -5.6627 -1.6088
ATOMIC_POSITIONS crystal
O 0.0000 0.0000 0.2289
O 0.0000 0.5000 0.5000
O 0.5000 0.0000 0.5000
O 0.0000 0.0000 0.7711
O 0.5000 0.5000 0.7533
O 0.5000 0.0000 0.0000
O 0.0000 0.5000 0.0000
O 0.5000 0.5000 0.2467
Mg 0.5000 0.0000 0.7379
Mg 0.5000 0.0000 0.2621
Mg 0.5000 0.5000 0.0000
Mg 0.5000 0.5000 0.5000
Mg 0.0000 0.5000 0.2621
Mg 0.0000 0.5000 0.7379
Na 0.0000 0.0000 0.5000
Ti 0.0000 0.0000 0.0000
```

=====

This record from the Alexandria database describes a geometry-optimized K6Mg structure. The functional is PBE. Values from VASP.

Values from the calculation:
- Energy of formation from the pure elements: 3.246 eV/f.u.
- Crystal system: cubic

The structure in Quantum ESPRESSO input format:
```
&SYSTEM
  ibrav = 0, nat = 7, ntyp = 2
/
ATOMIC_SPECIES
K 39.10 K.upf
Mg 24.30 Mg.upf
CELL_PARAMETERS angstrom
9.9878 0.0000 0.0000
-3.3293 9.4166 0.0000
-3.3293 -4.7083 8.1550
ATOMIC_POSITIONS crystal
K 0.7500 0.2500 0.5000
K 0.5000 0.7500 0.2500
K 0.2500 0.5000 0.7500
K 0.7500 0.5000 0.2500
K 0.2500 0.7500 0.5000
K 0.5000 0.2500 0.7500
Mg 0.0000 0.0000 0.0000
```

=====

This record from the Alexandria database describes a geometry-optimized RbLi2TlCl6 structure. The functional is PBE. Values from VASP.

Values from the calculation:
- Formation energy from raw total energies: -1358 meV/atom
- Crystal system: triclinic

The structure in Quantum ESPRESSO input format:
```
&SYSTEM
  ibrav = 0, nat = 10, ntyp = 4
/
ATOMIC_SPECIES
Tl 204.38 Tl.upf
Li 6.94 Li.upf
Cl 35.45 Cl.upf
Rb 85.47 Rb.upf
CELL_PARAMETERS angstrom
6.9153 0.0144 0.0199
3.4702 5.9580 -0.0043
3.4795 1.9759 6.3501
ATOMIC_POSITIONS crystal
Tl 0.3221 0.3206 0.0356
Li 0.5180 0.5192 0.4440
Li 0.0082 0.0158 0.9654
Cl 0.2691 0.9131 0.2294
Cl 0.3096 0.7414 0.7521
Cl 0.9131 0.5886 0.2305
Cl 0.5906 0.2668 0.2279
Cl 0.7431 0.1959 0.7508
Cl 0.1980 0.3096 0.7522
Rb 0.7898 0.7905 0.6273
```

=====

This record from the Alexandria database describes a geometry-optimized In8Pd2Au3 structure. The functional is PBE. Values from VASP.

Values from the calculation:
- Energy of formation from the pure elements: -3.428 eV/f.u.
- Crystal system: orthorhombic

The structure in Quantum ESPRESSO input format:
```
&SYSTEM
  ibrav = 0, nat = 13, ntyp = 3
/
ATOMIC_SPECIES
In 114.82 In.upf
Pd 106.42 Pd.upf
Au 196.97 Au.upf
CELL_PARAMETERS angstrom
4.7576 0.0000 0.0001
0.0000 7.5621 2.8361
-0.0001 -0.2773 8.0706
ATOMIC_POSITIONS crystal
In 0.5000 0.1399 0.6013
In 0.0000 0.3572 0.3573
In 0.5000 0.8601 0.3987
In 0.0000 0.6428 0.6427
In 0.0000 0.8745 0.8748
In 0.0000 0.1255 0.1252
In 0.5000 0.3987 0.8600
In 0.5000 0.6013 0.1400
Pd 0.5000 0.2336 0.2335
Pd 0.5000 0.7664 0.7665
Au 0.0000 0.2741 0.7258
Au 0.0000 0.7259 0.2742
Au 0.5000 0.0000 0.0000
```

=====

This record from the Alexandria database describes a geometry-optimized RbNbHg3 structure. The functional is PBE. Values from VASP.

Values from the calculation:
- Excess energy over the best structure of this formula in the dataset: 970 meV per atom
- Energy of formation from the pure elements: 6.501 eV/f.u.
- Crystal system: cubic

The structure in Quantum ESPRESSO input format:
```
&SYSTEM
  ibrav = 0, nat = 5, ntyp = 3
/
ATOMIC_SPECIES
Rb 85.47 Rb.upf
Nb 92.91 Nb.upf
Hg 200.59 Hg.upf
CELL_PARAMETERS angstrom
-1.0784 -5.7080 2.5459
0.2283 -2.6178 -5.7724
6.2458 -0.8898 0.6505
ATOMIC_POSITIONS crystal
Rb 0.0000 0.0000 0.0000
Nb 0.5000 0.5000 0.5000
Hg 0.5000 0.0000 0.0000
Hg 0.0000 0.5000 0.0000
Hg 0.0000 0.0000 0.5000
```

=====

This record from the Alexandria database describes a geometry-optimized Mn2OsN structure. The functional is PBE. Values from VASP.

Values from the calculation:
- Formation energy from raw total energies: -99 meV/atom
- Crystal system: trigonal

The structure in Quantum ESPRESSO input format:
```
&SYSTEM
  ibrav = 0, nat = 4, ntyp = 3
/
ATOMIC_SPECIES
N 14.01 N.upf
Mn 54.94 Mn.upf
Os 190.23 Os.upf
CELL_PARAMETERS angstrom
-0.9062 1.5710 -2.1033
0.6922 -0.6426 -2.6117
-5.4209 -3.4397 -2.0671
ATOMIC_POSITIONS crystal
N 0.0000 0.0000 0.0000
Mn 0.2762 0.2762 0.1715
Mn 0.7238 0.7238 0.8285
Os 0.5000 0.5000 0.5000
```

=====

This record from the Alexandria database describes a geometry-optimized CeZnSi2Pt4 structure. The functional is PBE. Values from VASP.

Values from the calculation:
- Formation energy from raw total energies: -733 meV/atom
- Crystal system: trigonal

The structure in Quantum ESPRESSO input format:
```
&SYSTEM
  ibrav = 0, nat = 8, ntyp = 4
/
ATOMIC_SPECIES
Si 28.09 Si.upf
Pt 195.08 Pt.upf
Zn 65.41 Zn.upf
Ce 140.12 Ce.upf
CELL_PARAMETERS angstrom
4.2066 0.0000 0.0000
2.1033 3.6430 0.0000
2.1033 1.2143 8.8879
ATOMIC_POSITIONS crystal
Si 0.7534 0.7534 0.7399
Si 0.2466 0.2466 0.2601
Pt 0.5966 0.5966 0.2102
Pt 0.1322 0.1322 0.6034
Pt 0.4034 0.4034 0.7898
Pt 0.8678 0.8678 0.3966
Zn 0.5000 0.5000 0.5000
Ce 0.0000 0.0000 0.0000
```

=====

This record from the Alexandria database describes a geometry-optimized Tb6PmDy structure. The functional is PBE. Values from VASP.

Values from the calculation:
- Excess energy over the best structure of this formula in the dataset: 179 meV per atom
- Energy of formation from the pure elements: 1.591 eV/f.u.
- Crystal system: triclinic

The structure in Quantum ESPRESSO input format:
```
&SYSTEM
  ibrav = 0, nat = 8, ntyp = 3
/
ATOMIC_SPECIES
Tb 158.93 Tb.upf
Dy 162.50 Dy.upf
Pm 145.00 Pm.upf
CELL_PARAMETERS angstrom
6.3174 -0.2103 2.3315
0.5087 6.4752 -0.7708
0.9727 -1.0490 6.8518
ATOMIC_POSITIONS crystal
Tb 0.5431 0.7482 0.9986
Tb 0.5756 0.7691 0.5198
Tb 0.9031 0.2720 0.5271
Tb 0.4569 0.2518 0.0014
Tb 0.4244 0.2309 0.4802
Tb 0.0969 0.7280 0.4729
Dy 0.0000 0.5000 0.0000
Pm 0.0000 0.0000 0.0000
```

=====

This record from the Alexandria database describes a geometry-optimized BaY2Re2 structure. The functional is PBE. Values from VASP.

Values from the calculation:
- Excess energy over the best structure of this formula in the dataset: 0 meV per atom
- Energy of formation from the pure elements: 2.706 eV/f.u.
- Crystal system: tetragonal

The structure in Quantum ESPRESSO input format:
```
&SYSTEM
  ibrav = 0, nat = 10, ntyp = 3
/
ATOMIC_SPECIES
Re 186.21 Re.upf
Y 88.91 Y.upf
Ba 137.33 Ba.upf
CELL_PARAMETERS angstrom
-7.4689 -1.3416 3.8640
4.0723 -3.1906 6.7639
0.1623 3.3048 1.4612
ATOMIC_POSITIONS crystal
Re 0.0985 0.4015 0.0000
Re 0.4015 0.9015 0.0000
Re 0.5985 0.0985 0.0000
Re 0.9015 0.5985 0.0000
Y 0.6762 0.8238 0.5000
Y 0.3238 0.1762 0.5000
Y 0.8238 0.3238 0.5000
Y 0.1762 0.6762 0.5000
Ba 0.0000 0.0000 0.0000
Ba 0.5000 0.5000 0.0000
```

=====

This record from the Alexandria database describes a geometry-optimized PuMgCu2Si2 structure. The functional is PBE. Values from VASP.

Values from the calculation:
- Formation energy from raw total energies: -309 meV/atom
- Crystal system: trigonal

The structure in Quantum ESPRESSO input format:
```
&SYSTEM
  ibrav = 0, nat = 6, ntyp = 4
/
ATOMIC_SPECIES
Pu 244.00 Pu.upf
Si 28.09 Si.upf
Cu 63.55 Cu.upf
Mg 24.30 Mg.upf
CELL_PARAMETERS angstrom
-1.1059 3.6346 -1.5824
-2.6815 -3.1216 0.0560
-2.2191 2.0171 6.1840
ATOMIC_POSITIONS crystal
Pu 0.0000 0.0000 0.0000
Si 0.3333 0.6667 0.2593
Si 0.6667 0.3333 0.7407
Cu 0.6667 0.3333 0.3053
Cu 0.3333 0.6667 0.6947
Mg 0.0000 0.0000 0.5000
```

=====

This record from the Alexandria database describes a geometry-optimized Er2MnBr structure. The functional is PBE. Values from VASP.

Values from the calculation:
- Formation energy from raw total energies: 98 meV/atom
- Crystal system: trigonal

The structure in Quantum ESPRESSO input format:
```
&SYSTEM
  ibrav = 0, nat = 4, ntyp = 3
/
ATOMIC_SPECIES
Er 167.26 Er.upf
Mn 54.94 Mn.upf
Br 79.90 Br.upf
CELL_PARAMETERS angstrom
3.3957 0.0000 0.0000
1.6978 2.9407 0.0000
1.6978 0.9802 10.2521
ATOMIC_POSITIONS crystal
Er 0.0892 0.0892 0.7324
Er 0.9108 0.9108 0.2676
Mn 0.0000 0.0000 0.0000
Br 0.5000 0.5000 0.5000
```

=====

Values for DOS at the Fermi energy, states/eV/atom, ordered as above
1.084 0.563 0.499 0.786 1.550 1.118 1.017 1.789 0.933 0.179 0.840 0.000 0.503 5.438 0.778 0.863 1.682 0.757 1.945 0.998
Values for VASP energy, eV per atom, ordered as above
-8.1747 -5.8118 -8.6621 -3.5041 -2.8006 -7.9202 -0.9862 -5.5363 -4.4503 -6.1917 -0.7048 -3.1824 -3.5041 -1.0884 -9.5723 -6.0100 -4.4430 -7.4082 -6.1366 -4.8937